# 1
Computed, not measured: crystalline CuIrAu at its relaxed geometry at the PBE-GGA level of DFT.

The density of states at the Fermi level comes out at 6.3 states/eV/f.u. The calculation puts the energy relative to the elements at 1.92 eV per formula unit. The value obtained for the uncorrected energy is -57.25 eV for the cell shown.

The structure belongs to space group F-43m (No. 216); the cell edges are 5.8551, 5.8551 and 5.8551 Å and the angles 90.00°, 90.00° and 90.00°. The inequivalent atoms are Cu at (0.0000, 0.0000, 0.0000), Ir at (0.2500, 0.2500, 0.7500) and Au at (0.2500, 0.2500, 0.2500).

---

# 2
Computed, not measured: crystalline ScCdCo at its relaxed geometry at the PBE-GGA level of DFT.

The density of states at the Fermi level comes out at 1.9 states/eV/f.u. The calculation puts the energy relative to the elements at 0.07 eV per formula unit. The value obtained for the uncorrected energy is -14.29 eV for the cell shown.

The structure belongs to space group P3m1 (No. 156); the cell edges are 4.4480, 4.4480 and 3.0414 Å and the angles 90.00°, 90.00° and 120.00°. The inequivalent atoms are Sc at (0.0000, 0.0000, 0.0000), Cd at (0.6667, 0.3333, 0.4474) and Co at (0.3333, 0.6667, 0.7275).

---

# 3
Computed, not measured: crystalline ErHBr2 at its relaxed geometry at the PBE-GGA level of DFT.

The density of states at the Fermi level comes out at 0.0 states/eV/f.u. The value obtained for the uncorrected energy is -65.78 eV for the cell shown.

The structure belongs to space group Pnna (No. 52); the cell edges are 7.1653, 6.1796 and 10.4391 Å and the angles 90.00°, 90.00° and 90.00°. The inequivalent atoms are Er at (0.2500, 0.0000, 0.1130), H at (0.1987, 0.2500, 0.2500) and Br at (0.0738, 0.2459, 0.9236).

---

# 4
Computed, not measured: crystalline PtN at its relaxed geometry at the PBE-GGA level of DFT.

The density of states at the Fermi level comes out at 0.9 states/eV/f.u. The value obtained for the uncorrected energy is -99.79 eV for the cell shown. For the formation energy without anion corrections, the calculation gives 946.4 meV/atom.

The structure belongs to space group I4/m (No. 87); the cell edges are 8.3974, 8.3974 and 3.1995 Å and the angles 90.00°, 90.00° and 90.00°. The inequivalent atoms are Pt at (0.0840, 0.2422, 0.0000) and N at (0.1423, 0.6876, 0.0000).

---

# 5
Computed, not measured: crystalline Nb3AlCu at its relaxed geometry at the PBE-GGA level of DFT.

The density of states at the Fermi level comes out at 8.9 states/eV/f.u. The calculation puts the energy relative to the elements at 4.63 eV per formula unit. The value obtained for the uncorrected energy is -33.42 eV for the cell shown.

The structure belongs to space group Pm-3m (No. 221); the cell edges are 4.6520, 4.6520 and 4.6520 Å and the angles 90.00°, 90.00° and 90.00°. The inequivalent atoms are Nb at (0.0000, 0.0000, 0.5000), Al at (0.5000, 0.5000, 0.5000) and Cu at (0.0000, 0.0000, 0.0000).

---

# 6
Computed, not measured: crystalline CsAlSb2 at its relaxed geometry at the PBE-GGA level of DFT.

The density of states at the Fermi level comes out at 2.3 states/eV/f.u. The value obtained for the uncorrected energy is -36.65 eV for the cell shown. For the formation energy without anion corrections, the calculation gives 156.2 meV/atom.

The structure belongs to space group R-3m (No. 166, hexagonal axes); the cell edges are 4.5805, 4.5805 and 28.6410 Å and the angles 90.00°, 90.00° and 120.00°. The inequivalent atoms are Cs at (0.0000, 0.0000, 0.0000), Al at (0.0000, 0.0000, 0.5000) and Sb at (0.0000, 0.0000, 0.1294).

---

> Among the records above, which one has the highest uncorrected energy?

ScCdCo